--- 1 ---
Below is a relaxed structure of TaTe3I, with properties calculated at the PBE level. Values from VASP.

Cell and atoms, written as Quantum ESPRESSO input:
```
&SYSTEM
  ibrav = 0, nat = 5, ntyp = 3
/
ATOMIC_SPECIES
Ta 180.95 Ta.upf
Te 127.60 Te.upf
I 126.90 I.upf
CELL_PARAMETERS angstrom
5.429 0.000 0.000
0.000 5.429 0.000
0.000 0.000 5.429
ATOMIC_POSITIONS angstrom
Ta 0.000 0.000 0.000
Te 0.000 0.000 2.715
Te 0.000 2.715 0.000
Te 2.715 0.000 0.000
I 2.715 2.715 2.715
```

=====

--- 2 ---
Below is a relaxed structure of TaTe3I, with properties calculated at the PBE level. Values from VASP.

Cell and atoms, written as Quantum ESPRESSO input:
```
&SYSTEM
  ibrav = 0, nat = 10, ntyp = 3
/
ATOMIC_SPECIES
Ta 180.95 Ta.upf
Te 127.60 Te.upf
I 126.90 I.upf
CELL_PARAMETERS angstrom
5.332 0.000 0.000
-0.168 8.261 0.000
-0.527 -4.141 9.516
ATOMIC_POSITIONS angstrom
Ta 0.996 0.983 3.247
Ta 3.641 3.137 6.269
Te 0.975 1.069 0.526
Te 1.000 -1.536 3.557
Te 0.980 2.493 5.695
Te 3.656 1.627 3.821
Te 3.637 5.656 5.959
Te 3.662 3.051 8.990
I 1.001 3.699 1.725
I 3.636 0.421 7.791
```

=====

--- 3 ---
Below is a relaxed structure of TaTe3I, with properties calculated at the PBE level. Values from VASP.

Cell and atoms, written as Quantum ESPRESSO input:
```
&SYSTEM
  ibrav = 0, nat = 5, ntyp = 3
/
ATOMIC_SPECIES
Ta 180.95 Ta.upf
Te 127.60 Te.upf
I 126.90 I.upf
CELL_PARAMETERS angstrom
5.710 0.000 0.000
0.000 5.710 0.000
0.000 0.000 5.710
ATOMIC_POSITIONS angstrom
Ta 0.000 0.000 0.000
Te 0.000 2.855 2.855
Te 2.855 0.000 2.855
Te 2.855 2.855 0.000
I 2.855 2.855 2.855
```

=====

Name the most stable of them. 2.

=====

--- 1 ---
Below is a relaxed structure of TaTi2I, with properties calculated at the PBE level. Values from VASP.

Cell and atoms, written as Quantum ESPRESSO input:
```
&SYSTEM
  ibrav = 0, nat = 8, ntyp = 3
/
ATOMIC_SPECIES
Ta 180.95 Ta.upf
Ti 47.87 Ti.upf
I 126.90 I.upf
CELL_PARAMETERS angstrom
-2.063 2.063 9.527
2.063 -2.063 9.527
2.063 2.063 -9.527
ATOMIC_POSITIONS angstrom
Ta 0.000 0.000 0.000
Ta 0.000 2.063 4.764
Ti 1.032 -1.019 7.146
Ti 1.044 1.032 2.382
Ti 1.032 3.082 -2.382
Ti 1.019 1.032 11.909
I 2.063 0.000 4.764
I 0.000 0.000 9.527
```

=====

--- 2 ---
Below is a relaxed structure of TaTi2I, with properties calculated at the PBE level. Values from VASP.

Cell and atoms, written as Quantum ESPRESSO input:
```
&SYSTEM
  ibrav = 0, nat = 4, ntyp = 3
/
ATOMIC_SPECIES
Ta 180.95 Ta.upf
Ti 47.87 Ti.upf
I 126.90 I.upf
CELL_PARAMETERS angstrom
0.000 3.327 3.327
3.327 0.000 3.327
3.327 3.327 0.000
ATOMIC_POSITIONS angstrom
Ta 0.000 0.000 0.000
Ti 1.664 1.664 1.664
Ti 4.991 4.991 4.991
I 3.327 3.327 3.327
```

=====

Name the most stable of them. 2.

=====

--- 1 ---
Below is a relaxed structure of Ta2TlI, with properties calculated at the PBE level. Values from VASP.

Cell and atoms, written as Quantum ESPRESSO input:
```
&SYSTEM
  ibrav = 0, nat = 4, ntyp = 3
/
ATOMIC_SPECIES
Ta 180.95 Ta.upf
Tl 204.38 Tl.upf
I 126.90 I.upf
CELL_PARAMETERS angstrom
0.000 3.447 3.447
3.447 0.000 3.447
3.447 3.447 0.000
ATOMIC_POSITIONS angstrom
Ta 1.723 1.723 1.723
Ta 5.170 5.170 5.170
Tl 0.000 0.000 0.000
I 3.447 3.447 3.447
```

=====

--- 2 ---
Below is a relaxed structure of Ta2TlI, with properties calculated at the PBE level. Values from VASP.

Cell and atoms, written as Quantum ESPRESSO input:
```
&SYSTEM
  ibrav = 0, nat = 8, ntyp = 3
/
ATOMIC_SPECIES
Ta 180.95 Ta.upf
Tl 204.38 Tl.upf
I 126.90 I.upf
CELL_PARAMETERS angstrom
-2.148 2.148 10.257
2.148 -2.148 10.257
2.148 2.148 -10.257
ATOMIC_POSITIONS angstrom
Ta 3.222 1.021 -2.564
Ta 1.021 1.074 2.564
Ta -1.074 1.127 7.693
Ta 1.127 1.074 12.822
Tl 0.000 0.000 0.000
Tl 0.000 2.148 5.129
I 2.148 0.000 5.129
I 0.000 0.000 10.257
```

=====

Name the most stable of them. 1.

=====

--- 1 ---
Below is a relaxed structure of TaTl3I, with properties calculated at the PBE level. Values from VASP.

Cell and atoms, written as Quantum ESPRESSO input:
```
&SYSTEM
  ibrav = 0, nat = 5, ntyp = 3
/
ATOMIC_SPECIES
Ta 180.95 Ta.upf
Tl 204.38 Tl.upf
I 126.90 I.upf
CELL_PARAMETERS angstrom
5.674 0.000 0.000
0.000 5.674 0.000
0.000 0.000 5.674
ATOMIC_POSITIONS angstrom
Ta 0.000 0.000 0.000
Tl 0.000 0.000 2.837
Tl 0.000 2.837 0.000
Tl 2.837 0.000 0.000
I 2.837 2.837 2.837
```

=====

--- 2 ---
Below is a relaxed structure of TaTl3I, with properties calculated at the PBE level. Values from VASP.

Cell and atoms, written as Quantum ESPRESSO input:
```
&SYSTEM
  ibrav = 0, nat = 5, ntyp = 3
/
ATOMIC_SPECIES
Ta 180.95 Ta.upf
Tl 204.38 Tl.upf
I 126.90 I.upf
CELL_PARAMETERS angstrom
6.272 0.000 0.000
0.000 6.272 0.000
0.000 0.000 6.272
ATOMIC_POSITIONS angstrom
Ta 0.000 0.000 0.000
Tl 0.000 3.136 3.136
Tl 3.136 0.000 3.136
Tl 3.136 3.136 0.000
I 3.136 3.136 3.136
```

=====

Name the most stable of them. 1.

=====

--- 1 ---
Below is a relaxed structure of TaVI2, with properties calculated at the PBE level. Values from VASP.

Cell and atoms, written as Quantum ESPRESSO input:
```
&SYSTEM
  ibrav = 0, nat = 8, ntyp = 3
/
ATOMIC_SPECIES
Ta 180.95 Ta.upf
V 50.94 V.upf
I 126.90 I.upf
CELL_PARAMETERS angstrom
-3.258 3.258 5.652
3.258 -3.258 5.652
3.258 3.258 -5.652
ATOMIC_POSITIONS angstrom
Ta 0.000 0.000 0.000
Ta 0.000 3.258 2.826
V 3.258 0.000 2.826
V 0.000 0.000 5.652
I 1.629 -1.596 4.239
I 1.661 1.629 1.413
I 1.629 4.854 -1.413
I 1.596 1.629 7.066
```

=====

--- 2 ---
Below is a relaxed structure of TaVI2, with properties calculated at the PBE level. Values from VASP.

Cell and atoms, written as Quantum ESPRESSO input:
```
&SYSTEM
  ibrav = 0, nat = 4, ntyp = 3
/
ATOMIC_SPECIES
Ta 180.95 Ta.upf
V 50.94 V.upf
I 126.90 I.upf
CELL_PARAMETERS angstrom
0.000 3.463 3.463
3.463 0.000 3.463
3.463 3.463 0.000
ATOMIC_POSITIONS angstrom
Ta 0.000 0.000 0.000
V 3.463 3.463 3.463
I 1.732 1.732 1.732
I 5.195 5.195 5.195
```

=====

Name the most stable of them. 2.

=====

--- 1 ---
Below is a relaxed structure of TaW3I, with properties calculated at the PBE level. Values from VASP.

Cell and atoms, written as Quantum ESPRESSO input:
```
&SYSTEM
  ibrav = 0, nat = 5, ntyp = 3
/
ATOMIC_SPECIES
Ta 180.95 Ta.upf
W 183.84 W.upf
I 126.90 I.upf
CELL_PARAMETERS angstrom
4.788 0.000 0.000
0.000 4.788 0.000
0.000 0.000 4.788
ATOMIC_POSITIONS angstrom
Ta 0.000 0.000 0.000
W 0.000 2.394 2.394
W 2.394 0.000 2.394
W 2.394 2.394 0.000
I 2.394 2.394 2.394
```

=====

--- 2 ---
Below is a relaxed structure of TaW3I, with properties calculated at the PBE level. Values from VASP.

Cell and atoms, written as Quantum ESPRESSO input:
```
&SYSTEM
  ibrav = 0, nat = 5, ntyp = 3
/
ATOMIC_SPECIES
Ta 180.95 Ta.upf
W 183.84 W.upf
I 126.90 I.upf
CELL_PARAMETERS angstrom
4.894 0.000 0.000
0.000 4.894 0.000
0.000 0.000 4.894
ATOMIC_POSITIONS angstrom
Ta 0.000 0.000 0.000
W 0.000 0.000 2.447
W 0.000 2.447 0.000
W 2.447 0.000 0.000
I 2.447 2.447 2.447
```

=====

Name the most stable of them. 2.

=====

--- 1 ---
Below is a relaxed structure of Ta2WI, with properties calculated at the PBE level. Values from VASP.

Cell and atoms, written as Quantum ESPRESSO input:
```
&SYSTEM
  ibrav = 0, nat = 4, ntyp = 3
/
ATOMIC_SPECIES
Ta 180.95 Ta.upf
W 183.84 W.upf
I 126.90 I.upf
CELL_PARAMETERS angstrom
0.000 3.359 3.359
3.359 0.000 3.359
3.359 3.359 0.000
ATOMIC_POSITIONS angstrom
Ta 1.680 1.680 1.680
Ta 5.039 5.039 5.039
W 0.000 0.000 0.000
I 3.359 3.359 3.359
```

=====

--- 2 ---
Below is a relaxed structure of Ta2WI, with properties calculated at the PBE level. Values from VASP.

Cell and atoms, written as Quantum ESPRESSO input:
```
&SYSTEM
  ibrav = 0, nat = 8, ntyp = 3
/
ATOMIC_SPECIES
Ta 180.95 Ta.upf
W 183.84 W.upf
I 126.90 I.upf
CELL_PARAMETERS angstrom
-2.041 2.041 9.781
2.041 -2.041 9.781
2.041 2.041 -9.781
ATOMIC_POSITIONS angstrom
Ta 3.062 1.010 -2.445
Ta 1.010 1.021 2.445
Ta -1.021 1.031 7.336
Ta 1.031 1.021 12.226
W 0.000 0.000 0.000
W 0.000 2.041 4.891
I 2.041 0.000 4.891
I 0.000 0.000 9.781
```

=====

Name the most stable of them. 1.

=====

--- 1 ---
Below is a relaxed structure of Y2Ta2I, with properties calculated at the PBE level. Values from VASP.

Cell and atoms, written as Quantum ESPRESSO input:
```
&SYSTEM
  ibrav = 0, nat = 5, ntyp = 3
/
ATOMIC_SPECIES
Y 88.91 Y.upf
Ta 180.95 Ta.upf
I 126.90 I.upf
CELL_PARAMETERS angstrom
-2.345 2.345 6.457
2.345 -2.345 6.457
2.345 2.345 -6.457
ATOMIC_POSITIONS angstrom
Y 2.345 0.000 3.229
Y 0.000 2.345 3.229
Ta 0.000 0.000 1.179
Ta 0.000 0.000 11.735
I 0.000 0.000 6.457
```

=====

--- 2 ---
Below is a relaxed structure of Y2Ta2I, with properties calculated at the PBE level. Values from VASP.

Cell and atoms, written as Quantum ESPRESSO input:
```
&SYSTEM
  ibrav = 0, nat = 10, ntyp = 3
/
ATOMIC_SPECIES
Y 88.91 Y.upf
Ta 180.95 Ta.upf
I 126.90 I.upf
CELL_PARAMETERS angstrom
8.415 0.000 0.000
0.000 8.415 0.000
0.000 0.000 3.764
ATOMIC_POSITIONS angstrom
Y 1.592 2.616 0.000
Y 2.616 6.824 0.000
Y 5.799 1.592 0.000
Y 6.824 5.799 0.000
Ta 0.839 5.047 1.882
Ta 3.368 0.839 1.882
Ta 5.047 7.576 1.882
Ta 7.576 3.368 1.882
I 0.000 0.000 1.882
I 4.208 4.208 1.882
```

=====

Name the most stable of them. 2.

=====

--- 1 ---
Below is a relaxed structure of YTa2I2, with properties calculated at the PBE level. Values from VASP.

Cell and atoms, written as Quantum ESPRESSO input:
```
&SYSTEM
  ibrav = 0, nat = 5, ntyp = 3
/
ATOMIC_SPECIES
Y 88.91 Y.upf
Ta 180.95 Ta.upf
I 126.90 I.upf
CELL_PARAMETERS angstrom
-1.855 1.855 12.029
1.855 -1.855 12.029
1.855 1.855 -12.029
ATOMIC_POSITIONS angstrom
Y 0.000 0.000 0.000
Ta 1.855 0.000 6.014
Ta 0.000 1.855 6.014
I 0.000 0.000 10.156
I 0.000 0.000 13.902
```

=====

--- 2 ---
Below is a relaxed structure of YTa2I2, with properties calculated at the PBE level. Values from VASP.

Cell and atoms, written as Quantum ESPRESSO input:
```
&SYSTEM
  ibrav = 0, nat = 10, ntyp = 3
/
ATOMIC_SPECIES
Y 88.91 Y.upf
Ta 180.95 Ta.upf
I 126.90 I.upf
CELL_PARAMETERS angstrom
8.355 0.000 0.000
0.000 8.355 0.000
0.000 0.000 3.371
ATOMIC_POSITIONS angstrom
Y 0.000 0.000 0.000
Y 4.177 4.177 0.000
Ta 0.964 3.214 1.685
Ta 3.214 7.391 1.685
Ta 5.141 0.964 1.685
Ta 7.391 5.141 1.685
I 1.450 5.627 0.000
I 2.728 1.450 0.000
I 5.627 6.905 0.000
I 6.905 2.728 0.000
```

=====

Name the most stable of them. 1.

=====

--- 1 ---
Below is a relaxed structure of YTa3I, with properties calculated at the PBE level. Values from VASP.

Cell and atoms, written as Quantum ESPRESSO input:
```
&SYSTEM
  ibrav = 0, nat = 5, ntyp = 3
/
ATOMIC_SPECIES
Y 88.91 Y.upf
Ta 180.95 Ta.upf
I 126.90 I.upf
CELL_PARAMETERS angstrom
5.041 0.000 0.000
0.000 5.041 0.000
0.000 0.000 5.041
ATOMIC_POSITIONS angstrom
Y 0.000 0.000 0.000
Ta 0.000 2.521 2.521
Ta 2.521 0.000 2.521
Ta 2.521 2.521 0.000
I 2.521 2.521 2.521
```

=====

--- 2 ---
Below is a relaxed structure of YTa3I, with properties calculated at the PBE level. Values from VASP.

Cell and atoms, written as Quantum ESPRESSO input:
```
&SYSTEM
  ibrav = 0, nat = 5, ntyp = 3
/
ATOMIC_SPECIES
Y 88.91 Y.upf
Ta 180.95 Ta.upf
I 126.90 I.upf
CELL_PARAMETERS angstrom
5.083 0.000 0.000
0.000 5.083 0.000
0.000 0.000 5.083
ATOMIC_POSITIONS angstrom
Y 0.000 0.000 0.000
Ta 0.000 0.000 2.541
Ta 0.000 2.541 0.000
Ta 2.541 0.000 0.000
I 2.541 2.541 2.541
```

=====

Name the most stable of them. 1.

=====

--- 1 ---
Below is a relaxed structure of Zr3TaI, with properties calculated at the PBE level. Values from VASP.

Cell and atoms, written as Quantum ESPRESSO input:
```
&SYSTEM
  ibrav = 0, nat = 5, ntyp = 3
/
ATOMIC_SPECIES
Zr 91.22 Zr.upf
Ta 180.95 Ta.upf
I 126.90 I.upf
CELL_PARAMETERS angstrom
5.148 0.000 0.000
0.000 5.148 0.000
0.000 0.000 5.148
ATOMIC_POSITIONS angstrom
Zr 0.000 0.000 2.574
Zr 0.000 2.574 0.000
Zr 2.574 0.000 0.000
Ta 2.574 2.574 2.574
I 0.000 0.000 0.000
```

=====

--- 2 ---
Below is a relaxed structure of Zr3TaI, with properties calculated at the PBE level. Values from VASP.

Cell and atoms, written as Quantum ESPRESSO input:
```
&SYSTEM
  ibrav = 0, nat = 5, ntyp = 3
/
ATOMIC_SPECIES
Zr 91.22 Zr.upf
Ta 180.95 Ta.upf
I 126.90 I.upf
CELL_PARAMETERS angstrom
5.227 0.000 0.000
0.000 5.227 0.000
0.000 0.000 5.227
ATOMIC_POSITIONS angstrom
Zr 0.000 0.000 2.614
Zr 0.000 2.614 0.000
Zr 2.614 0.000 0.000
Ta 0.000 0.000 0.000
I 2.614 2.614 2.614
```

=====

Name the most stable of them. 2.

=====

--- 1 ---
Below is a relaxed structure of ZrTa2I, with properties calculated at the PBE level. Values from VASP.

Cell and atoms, written as Quantum ESPRESSO input:
```
&SYSTEM
  ibrav = 0, nat = 8, ntyp = 3
/
ATOMIC_SPECIES
Zr 91.22 Zr.upf
Ta 180.95 Ta.upf
I 126.90 I.upf
CELL_PARAMETERS angstrom
-2.053 2.053 10.473
2.053 -2.053 10.473
2.053 2.053 -10.473
ATOMIC_POSITIONS angstrom
Zr 0.000 0.000 0.000
Zr 0.000 2.053 5.237
Ta 3.079 1.024 -2.618
Ta 1.024 1.026 2.618
Ta -1.026 1.028 7.855
Ta 1.028 1.026 13.092
I 2.053 0.000 5.237
I 0.000 0.000 10.473
```

=====

--- 2 ---
Below is a relaxed structure of ZrTa2I, with properties calculated at the PBE level. Values from VASP.

Cell and atoms, written as Quantum ESPRESSO input:
```
&SYSTEM
  ibrav = 0, nat = 4, ntyp = 3
/
ATOMIC_SPECIES
Zr 91.22 Zr.upf
Ta 180.95 Ta.upf
I 126.90 I.upf
CELL_PARAMETERS angstrom
0.000 3.446 3.446
3.446 0.000 3.446
3.446 3.446 0.000
ATOMIC_POSITIONS angstrom
Zr 0.000 0.000 0.000
Ta 1.723 1.723 1.723
Ta 5.169 5.169 5.169
I 3.446 3.446 3.446
```

=====

Name the most stable of them. 1.